# SCAN Sc2CuPt, single point on PBEsol structure
data_Sc2CuPt
_chemical_formula_sum 'Sc2 Cu1 Pt1'
_cell_length_a 3.2150
_cell_length_b 3.2973
_cell_length_c 6.3809
_cell_angle_alpha 90.00
_cell_angle_beta 90.00
_cell_angle_gamma 90.00
_symmetry_space_group_name_H-M 'P m m m'
_symmetry_Int_Tables_number 47
loop_
_symmetry_equiv_pos_as_xyz
'x,y,z'
'-x,-y,-z'
'-x,-y,z'
'x,y,-z'
'x,-y,-z'
'-x,y,z'
'-x,y,-z'
'x,-y,z'
loop_
_atom_site_label
_atom_site_fract_x
_atom_site_fract_y
_atom_site_fract_z
_atom_site_occupancy
Sc1 0.0000 0.0000 0.2484 1
Cu1 0.5000 0.5000 0.0000 1
Pt1 0.5000 0.5000 0.5000 1
# * formation enthalpy at 0 K: -925.5 meV per atom
# * E_tot: -117.57 eV/cell